Record 1
{"formula": "MgZn2W", "functional": "PBE", "state": "optimized geometry", "lattice_angstrom": [[4.349, 0.000, 0.000], [0.000, 2.811, 0.009], [0.000, 1.387, 5.197]], "species": ["Zn", "Zn", "W", "Mg"], "frac_coords": [[0.500, 0.056, 0.263], [0.000, 0.200, 0.975], [0.500, 0.796, 0.783], [0.000, 0.448, 0.479]], "dft_energy_ev_per_atom": -4.035, "sg": "Amm2 (38)", "e_form_kj_per_mol_fu": 92}

***

Record 2
{"formula": "Ca9AcLa4", "functional": "PBE", "state": "optimized geometry", "lattice_angstrom": [[-8.218, 0.985, 8.806], [-4.900, -8.782, -3.590], [7.738, -0.815, 7.312]], "species": ["Ca", "Ca", "Ca", "Ca", "Ca", "Ca", "Ca", "Ca", "Ca", "Ca", "Ca", "Ca", "Ca", "Ca", "Ca", "Ca", "Ca", "Ca", "La", "La", "La", "La", "La", "La", "La", "La", "Ac", "Ac"], "frac_coords": [[0.528, 0.204, 0.796], [0.750, 0.920, 0.460], [0.472, 0.796, 0.204], [0.972, 0.591, 0.796], [0.528, 0.204, 0.409], [0.028, 0.796, 0.204], [0.028, 0.796, 0.591], [0.528, 0.591, 0.796], [0.972, 0.204, 0.409], [0.750, 0.540, 0.080], [0.972, 0.204, 0.796], [0.250, 0.460, 0.920], [0.028, 0.409, 0.204], [0.472, 0.796, 0.591], [0.750, 0.540, 0.460], [0.250, 0.460, 0.540], [0.250, 0.080, 0.540], [0.472, 0.409, 0.204], [0.750, 0.899, 0.799], [0.250, 0.101, 0.899], [0.750, 0.201, 0.101], [0.250, 0.101, 0.201], [0.500, 0.000, 0.000], [0.250, 0.799, 0.899], [0.750, 0.899, 0.101], [0.000, 0.000, 0.000], [0.750, 0.333, 0.667], [0.250, 0.667, 0.333]], "dft_energy_ev_per_atom": -2.821, "sg": "P6_3/mmc (194)", "e_form_kj_per_mol_fu": 226}

***

Record 3
{"formula": "ScPBr2", "functional": "PBE", "state": "optimized geometry", "lattice_angstrom": [[-2.953, -1.391, 3.660], [-4.683, 1.457, 0.061], [-3.587, -3.238, -0.839]], "species": ["Br", "Br", "P", "Sc"], "frac_coords": [[0.750, 0.750, 0.750], [0.250, 0.250, 0.250], [0.000, 0.000, 0.000], [0.500, 0.500, 0.500]], "dft_energy_ev_per_atom": -3.920, "sg": "Fm-3m (225)", "e_form_raw_kj_per_mol_atoms": -14}

***

Record 4
{"formula": "Th8CoC4S3", "functional": "PBE", "state": "optimized geometry", "lattice_angstrom": [[7.742, 0.000, 0.000], [0.000, 7.942, 0.138], [-3.871, -3.867, 5.476]], "species": ["Th", "Th", "Th", "Th", "Th", "Th", "Th", "Th", "C", "C", "C", "C", "S", "S", "S", "Co"], "frac_coords": [[0.233, 0.221, 0.977], [0.744, 0.221, 0.488], [0.256, 0.779, 0.512], [0.767, 0.779, 0.023], [0.239, 0.216, 0.477], [0.761, 0.784, 0.523], [0.256, 0.779, 0.023], [0.744, 0.221, 0.977], [0.000, 0.000, 0.500], [0.000, 0.000, 0.000], [0.500, 0.000, 0.000], [0.500, 0.000, 0.500], [0.500, 0.500, 0.500], [0.500, 0.500, 0.000], [0.000, 0.500, 0.500], [0.000, 0.500, 0.000]], "dft_energy_ev_per_atom": -8.165, "sg": "R-3m (166)", "e_form_raw_kj_per_mol_atoms": -90}

***

Record 5
{"formula": "Sb2TeClO", "functional": "PBE", "state": "optimized geometry", "lattice_angstrom": [[-0.159, 3.566, 3.404], [-3.661, -2.366, 2.308], [3.202, -2.378, 2.640]], "species": ["Sb", "Sb", "Cl", "Te", "O"], "frac_coords": [[0.500, 0.000, 0.000], [0.000, 0.500, 0.000], [0.500, 0.500, 0.500], [0.000, 0.000, 0.500], [0.000, 0.000, 0.000]], "dft_energy_ev_per_atom": -3.506, "sg": "P4/mmm (123)", "e_form_raw_kj_per_mol_atoms": 13}

***

Record 6
{"formula": "Fe4Se3", "functional": "PBE", "state": "optimized geometry", "lattice_angstrom": [[6.849, 6.328, 5.908], [6.016, 8.959, 2.327], [-8.200, -6.736, -3.040]], "species": ["Fe", "Fe", "Fe", "Fe", "Se", "Se", "Se"], "frac_coords": [[0.437, 0.437, 0.000], [0.878, 0.878, 0.000], [0.563, 0.563, 0.000], [0.122, 0.122, 0.000], [0.326, 0.326, 0.000], [0.674, 0.674, 0.000], [0.000, 0.000, 0.000]], "dft_energy_ev_per_atom": -6.301, "sg": "I4/mmm (139)", "e_form_raw_kj_per_mol_atoms": 3}

***

Record 7
{"formula": "LiY2Cr", "functional": "PBE", "state": "optimized geometry", "lattice_angstrom": [[-1.072, 0.484, 5.038], [-3.083, -1.904, 3.692], [3.718, -4.412, 2.275]], "species": ["Y", "Y", "Cr", "Li"], "frac_coords": [[0.995, 0.995, 0.017], [0.505, 0.505, 0.483], [0.250, 0.250, 0.250], [0.750, 0.750, 0.750]], "dft_energy_ev_per_atom": -5.692, "sg": "C2/m (12)", "e_form_kj_per_mol_fu": 164}

***

Record 8
{"formula": "Tb6Sm3HoSc2", "functional": "PBE", "state": "optimized geometry", "lattice_angstrom": [[6.117, 0.000, 0.007], [-3.057, 5.298, 0.007], [-1.031, -1.786, 11.470]], "species": ["Sm", "Sm", "Sm", "Tb", "Tb", "Tb", "Tb", "Tb", "Tb", "Ho", "Sc", "Sc"], "frac_coords": [[0.167, 0.833, 0.500], [0.500, 0.500, 0.500], [0.833, 0.167, 0.500], [0.745, 0.745, 0.242], [0.255, 0.255, 0.758], [0.417, 0.081, 0.242], [0.583, 0.919, 0.758], [0.919, 0.583, 0.758], [0.081, 0.417, 0.242], [0.000, 0.000, 0.000], [0.333, 0.667, 0.000], [0.667, 0.333, 0.000]], "dft_energy_ev_per_atom": -4.894, "sg": "C2/m (12)", "e_form_kj_per_mol_fu": 43}

***

Record 9
{"formula": "SrRh2I", "functional": "PBE", "state": "optimized geometry", "lattice_angstrom": [[-0.856, 2.314, 4.518], [-4.763, -1.948, 0.096], [0.102, -6.736, 6.402]], "species": ["Rh", "Rh", "Rh", "Rh", "I", "I", "Sr", "Sr"], "frac_coords": [[0.875, 0.062, 0.750], [0.938, 0.625, 0.250], [0.375, 0.188, 0.750], [0.812, 0.125, 0.250], [0.750, 0.250, 0.500], [0.000, 0.000, 0.000], [0.250, 0.750, 0.500], [0.500, 0.500, 0.000]], "dft_energy_ev_per_atom": -4.511, "sg": "I-42d (122)", "e_form_raw_kj_per_mol_atoms": -3}

***

Record 10
{"formula": "Ti3FeCu", "functional": "PBE", "state": "optimized geometry", "lattice_angstrom": [[-2.854, 2.338, -2.493], [-2.882, -3.392, 0.119], [-1.837, 1.690, 3.688]], "species": ["Fe", "Ti", "Ti", "Ti", "Cu"], "frac_coords": [[0.000, 0.000, 0.000], [0.000, 0.000, 0.500], [0.000, 0.500, 0.000], [0.500, 0.000, 0.000], [0.500, 0.500, 0.500]], "dft_energy_ev_per_atom": -6.834, "sg": "Pm-3m (221)", "e_form_kj_per_mol_fu": 200}

***

Record 11
{"formula": "DyLuPtRh", "functional": "PBE", "state": "optimized geometry", "lattice_angstrom": [[-4.046, 1.355, 2.289], [-1.525, -2.460, 3.882], [0.264, 2.010, 4.397]], "species": ["Dy", "Pt", "Lu", "Rh"], "frac_coords": [[0.500, 0.500, 0.500], [0.750, 0.750, 0.750], [0.000, 0.000, 0.000], [0.250, 0.250, 0.250]], "dft_energy_ev_per_atom": -6.726, "sg": "F-43m (216)", "e_form_kj_per_mol_fu": -424}

***

Record 12
{"formula": "MnCr2AsN", "functional": "PBE", "state": "optimized geometry", "lattice_angstrom": [[-0.770, 2.231, -3.051], [-0.094, -3.124, -2.261], [-3.698, -0.369, 0.663]], "species": ["As", "Cr", "Cr", "N", "Mn"], "frac_coords": [[0.500, 0.500, 0.500], [0.000, 0.500, 0.000], [0.500, 0.000, 0.000], [0.000, 0.000, 0.000], [0.000, 0.000, 0.500]], "dft_energy_ev_per_atom": -8.453, "sg": "P4/mmm (123)", "e_form_raw_kj_per_mol_atoms": -17}